(1)
# Ba2LiAg

A relaxed Ba2LiAg crystal (PBE-GGA, Alexandria).

Results
- Space-group type: Cm (8)
- Energy of formation: -0.23 eV per formula unit
- D(E_F): 3.7 states/eV/cell
- Electronic total energy: -8.8 eV/cell
- Total magnetization: 0.0 Bohr magnetons per cell

Cell lengths 7.195, 7.195, 5.832 Å; angles 112.71, 112.71, 32.93 degrees
Fractional coordinates of all 4 atoms:
Ba1 0.000 0.000 0.000
Ba2 0.202 0.202 0.691
Li1 0.809 0.809 0.300
Ag1 0.462 0.462 0.466

=====

(2)
# TaTi2AgC

A relaxed TaTi2AgC crystal (PBE-GGA, Alexandria).

Results
- Space-group type: P4/mmm (123)
- Energy of formation: -1.30 eV per formula unit
- D(E_F): 4.3 states/eV/cell
- Electronic total energy: -41.0 eV/cell
- Total magnetization: 0.0 Bohr magnetons per cell

Cell lengths 4.213, 4.213, 4.291 Å; angles 90.00, 90.00, 90.00 degrees
Fractional coordinates of all 5 atoms:
Ta1 0.000 0.000 0.000
Ti1 0.000 0.500 0.500
Ti2 0.500 0.000 0.500
Ag1 0.500 0.500 0.000
C1 0.000 0.000 0.500

=====

(3)
# Tl2IrS

A relaxed Tl2IrS crystal (PBE-GGA, Alexandria).

Results
- Space-group type: Fm-3m (225)
- Raw formation energy: 729.6 meV/atom
- D(E_F): 4.9 states/eV/cell
- Electronic total energy: -14.8 eV/cell
- Total magnetization: 0.0 Bohr magnetons per cell

Cell lengths 4.915, 4.915, 4.915 Å; angles 60.00, 60.00, 60.00 degrees
Fractional coordinates of all 4 atoms:
Tl1 0.250 0.250 0.250
Tl2 0.750 0.750 0.750
Ir1 0.000 0.000 0.000
S1 0.500 0.500 0.500

=====

(4)
# PrNdHo2Se4

A relaxed PrNdHo2Se4 crystal (PBE-GGA, Alexandria).

Results
- Space-group type: P2/m (10)
- Raw formation energy: -1788.7 meV/atom
- D(E_F): 3.8 states/eV/cell
- Electronic total energy: -47.0 eV/cell
- Total magnetization: 0.0 Bohr magnetons per cell

Cell lengths 7.101, 4.074, 7.385 Å; angles 90.00, 108.51, 90.00 degrees
Fractional coordinates of all 8 atoms:
Pr1 0.000 0.000 0.000
Nd1 0.500 0.500 0.000
Ho1 0.000 0.500 0.500
Ho2 0.500 0.000 0.500
Se1 0.245 0.000 0.732
Se2 0.258 0.500 0.269
Se3 0.742 0.500 0.731
Se4 0.755 0.000 0.268

=====

(5)
# BWSe2

A relaxed BWSe2 crystal (PBE-GGA, Alexandria).

Results
- Space-group type: R-3m (166)
- Raw formation energy: 819.0 meV/atom
- D(E_F): 3.4 states/eV/cell
- Electronic total energy: -23.3 eV/cell
- Total magnetization: 0.0 Bohr magnetons per cell

Cell lengths 7.770, 7.770, 7.770 Å; angles 23.24, 23.24, 23.24 degrees
Fractional coordinates of all 4 atoms:
B1 0.000 0.000 0.000
W1 0.500 0.500 0.500
Se1 0.391 0.391 0.391
Se2 0.609 0.609 0.609

=====

(6)
# CoGeRh3

A relaxed CoGeRh3 crystal (PBE-GGA, Alexandria).

Results
- Space-group type: Pm-3m (221)
- Energy of formation: 4.62 eV per formula unit
- D(E_F): 4.1 states/eV/cell
- Electronic total energy: -29.2 eV/cell
- Total magnetization: 2.8 Bohr magnetons per cell

Cell lengths 4.452, 4.452, 4.452 Å; angles 90.00, 90.00, 90.00 degrees
Fractional coordinates of all 5 atoms:
Co1 0.000 0.000 0.000
Ge1 0.500 0.500 0.500
Rh1 0.000 0.000 0.500
Rh2 0.000 0.500 0.000
Rh3 0.500 0.000 0.000